(1)
Entry from Alexandria: a geometry-optimized InPbSe4 structure (GGA-PBE).

Unit cell a=5.955 b=5.955 c=5.955 alpha=60.00 beta=60.00 gamma=60.00
Positions (direct):
1 Se 0.874 0.375 0.375
2 Pb 0.000 0.000 0.000
3 Se 0.375 0.375 0.375
4 Se 0.375 0.375 0.874
5 Se 0.375 0.874 0.375
6 In 0.750 0.750 0.750

Output
- final energy (eV per atom) = -3.171
- crystal system = cubic
- raw formation energy (kJ/mol of formula units) = 131

(2)
Entry from Alexandria: a geometry-optimized InPb5Se6 structure (GGA-PBE).

Unit cell a=7.555 b=7.555 c=7.529 alpha=99.55 beta=99.55 gamma=120.07
Positions (direct):
1 Pb 0.666 0.334 0.000
2 Se 0.919 0.594 0.756
3 Se 0.406 0.081 0.244
4 Pb 0.334 0.666 0.000
5 Se 0.758 0.758 0.248
6 Pb 0.500 0.500 0.500
7 Se 0.594 0.919 0.756
8 Se 0.242 0.242 0.752
9 Pb 0.170 0.830 0.500
10 Pb 0.830 0.170 0.500
11 Se 0.081 0.406 0.244
12 In 0.000 0.000 0.000

Output
- final energy (eV per atom) = -4.038
- crystal system = monoclinic
- raw formation energy (kJ/mol of formula units) = -605

(3)
Entry from Alexandria: a geometry-optimized InPb2Se structure (GGA-PBE).

Unit cell a=8.214 b=5.352 c=3.947 alpha=89.61 beta=61.86 gamma=126.40
Positions (direct):
1 Pb 0.000 0.000 0.000
2 Se 0.000 0.500 0.500
3 Pb 0.500 0.000 0.500
4 In 0.500 0.500 0.000

Output
- final energy (eV per atom) = -3.511
- offset from the most stable computed form (meV per atom) = 51
- crystal system = monoclinic
- raw formation energy (kJ/mol of formula units) = -39

(4)
Entry from Alexandria: a geometry-optimized InPbSe2 structure (GGA-PBE).

Unit cell a=7.449 b=7.449 c=7.067 alpha=58.19 beta=58.19 gamma=90.00
Positions (direct):
1 Pb 0.750 0.250 0.500
2 Se 0.148 0.625 0.250
3 Se 0.875 0.852 0.750
4 Pb 0.000 0.000 0.000
5 Se 0.602 0.125 0.250
6 In 0.250 0.750 0.500
7 In 0.500 0.500 0.000
8 Se 0.375 0.398 0.750

Output
- final energy (eV per atom) = -3.699
- crystal system = tetragonal
- raw formation energy (kJ/mol of formula units) = -133

(5)
Entry from Alexandria: a geometry-optimized InPb2Se structure (GGA-PBE).

Unit cell a=5.951 b=5.951 c=5.617 alpha=71.62 beta=71.62 gamma=38.05
Positions (direct):
1 Pb 0.526 0.526 0.474
2 Pb 0.974 0.974 0.026
3 Se 0.250 0.250 0.250
4 In 0.750 0.750 0.750

Output
- final energy (eV per atom) = -3.513
- offset from the most stable computed form (meV per atom) = 49
- crystal system = monoclinic
- raw formation energy (kJ/mol of formula units) = -40

(6)
Entry from Alexandria: a geometry-optimized InPbSe2 structure (GGA-PBE).

Unit cell a=7.385 b=7.385 c=7.385 alpha=33.78 beta=33.78 gamma=33.78
Positions (direct):
1 Se 0.996 0.996 0.996
2 Se 0.504 0.504 0.504
3 In 0.250 0.250 0.250
4 Pb 0.750 0.750 0.750

Output
- final energy (eV per atom) = -3.820
- crystal system = trigonal
- raw formation energy (kJ/mol of formula units) = -180

(7)
Entry from Alexandria: a geometry-optimized InPb2Se structure (GGA-PBE).

Unit cell a=5.423 b=5.423 c=5.423 alpha=60.00 beta=60.00 gamma=60.00
Positions (direct):
1 Pb 0.000 0.000 0.000
2 In 0.500 0.500 0.500
3 Pb 0.250 0.250 0.250
4 Se 0.750 0.750 0.750

Output
- final energy (eV per atom) = -3.399
- offset from the most stable computed form (meV per atom) = 163
- crystal system = cubic
- raw formation energy (kJ/mol of formula units) = 4

(8)
Entry from Alexandria: a geometry-optimized InPb2Se3 structure (GGA-PBE).

Unit cell a=4.351 b=6.066 c=7.497 alpha=113.87 beta=106.87 gamma=90.00
Positions (direct):
1 Pb 0.670 0.170 0.339
2 Se 0.341 0.341 0.681
3 Se 0.000 0.000 0.000
4 Se 0.659 0.659 0.319
5 In 0.000 0.500 0.000
6 Pb 0.330 0.830 0.661

Output
- final energy (eV per atom) = -3.933
- crystal system = orthorhombic
- raw formation energy (kJ/mol of formula units) = -289

(9)
Entry from Alexandria: a geometry-optimized InPb2Se structure (GGA-PBE).

Unit cell a=4.073 b=5.580 c=5.018 alpha=90.00 beta=90.00 gamma=90.00
Positions (direct):
1 Pb 0.500 0.500 0.000
2 Se 0.500 0.000 0.500
3 In 0.000 0.500 0.500
4 Pb 0.000 0.000 0.000

Output
- final energy (eV per atom) = -3.493
- offset from the most stable computed form (meV per atom) = 70
- crystal system = orthorhombic
- raw formation energy (kJ/mol of formula units) = -32

(10)
Entry from Alexandria: a geometry-optimized In2PbSe structure (GGA-PBE).

Unit cell a=3.792 b=3.792 c=7.539 alpha=90.00 beta=90.00 gamma=90.00
Positions (direct):
1 Pb 0.500 0.500 0.250
2 In 0.000 0.000 0.966
3 Se 0.500 0.500 0.750
4 In 0.000 0.000 0.534

Output
- final energy (eV per atom) = -3.274
- offset from the most stable computed form (meV per atom) = 63
- crystal system = tetragonal
- raw formation energy (kJ/mol of formula units) = -41

(11)
Entry from Alexandria: a geometry-optimized InPbSe2 structure (GGA-PBE).

Unit cell a=6.891 b=4.241 c=8.690 alpha=90.00 beta=90.39 gamma=90.00
Positions (direct):
1 In 0.020 0.500 0.860
2 Se 0.063 0.000 0.368
3 Se 0.831 0.000 0.976
4 In 0.136 0.500 0.547
5 Pb 0.480 0.000 0.805
6 Pb 0.477 0.000 0.287
7 Se 0.352 0.500 0.025
8 Se 0.535 0.500 0.529

Output
- final energy (eV per atom) = -3.845
- crystal system = monoclinic
- raw formation energy (kJ/mol of formula units) = -189

(12)
Entry from Alexandria: a geometry-optimized In2PbSe4 structure (GGA-PBE).

Unit cell a=5.906 b=5.906 c=6.941 alpha=90.00 beta=90.00 gamma=90.00
Positions (direct):
1 Se 0.723 0.277 0.731
2 Se 0.277 0.277 0.269
3 In 0.500 0.000 0.500
4 Se 0.277 0.723 0.731
5 Se 0.723 0.723 0.269
6 In 0.000 0.500 0.500
7 Pb 0.000 0.000 0.000

Output
- final energy (eV per atom) = -3.785
- offset from the most stable computed form (meV per atom) = 44
- crystal system = tetragonal
- raw formation energy (kJ/mol of formula units) = -325